Density functional theory data (PBE) for a geometry-optimized GePbAu2 structure.

a b c (Å): 4.9729 4.9729 4.9729
angles (deg): 60.00 60.00 60.00
Closest atoms and distances in Å follow each position.
Fractional coordinates of all 4 atoms:
Au 0.2500 0.2500 0.2500  4 Ge 3.05, 4 Pb 3.05
Au 0.7500 0.7500 0.7500  4 Ge 3.05, 4 Pb 3.05
Ge 0.0000 0.0000 0.0000  8 Au 3.05
Pb 0.5000 0.5000 0.5000  8 Au 3.05

## Properties
As for the symmetry: Fm-3m. The spin magnetization is 0.00 μB/f.u. The offset from the most stable computed form comes out at 0.145 eV/atom.

=====

Density functional theory data (PBE) for a geometry-optimized Ge3Pb2Au9 structure.

a b c (Å): 8.2011 8.2011 10.8677
angles (deg): 91.76 109.48 121.16
Closest atoms and distances in Å follow each position.
Fractional coordinates of all 28 atoms:
Au 0.4278 0.6424 0.9018  2 Ge 2.66-2.77, 1 Au 2.88
Pb 0.6618 0.7612 0.2413  11 Au 3.12-3.46
Pb 0.0200 0.4205 0.2587  11 Au 3.12-3.46
Au 0.2081 0.6894 0.0690  3 Ge 2.71-2.86, 4 Au 2.91-3.03
Au 0.7594 0.4740 0.4018  2 Ge 2.66-2.77, 1 Au 2.88
Au 0.4582 0.8039 0.4481  3 Ge 2.74-3.02, 4 Au 2.93-3.03
Au 0.8796 0.8608 0.5690  3 Ge 2.71-2.86, 4 Au 2.91-3.03
Au 0.2984 0.2820 0.2317  2 Ge 2.67-2.80, 4 Au 2.88-2.95
Ge 0.5000 0.0000 0.0000  8 Au 2.74-2.80
Au 0.1442 0.9899 0.9481  3 Ge 2.74-3.02, 4 Au 2.93-3.03
Ge 0.1828 0.3564 0.9915  6 Au 2.66-2.86
Pb 0.3382 0.2388 0.7587  11 Au 3.12-3.46
Au 0.7919 0.3106 0.9310  3 Ge 2.71-2.86, 4 Au 2.91-3.03
Au 0.8558 0.0101 0.0519  3 Ge 2.74-3.02, 4 Au 2.93-3.03
Ge 0.8650 0.1913 0.5085  6 Au 2.66-2.86
Pb 0.9800 0.5795 0.7413  11 Au 3.12-3.46
Au 0.8801 0.1301 0.7500  2 Ge 2.66, 4 Au 2.91-2.95
Au 0.7016 0.7180 0.7683  2 Ge 2.67-2.80, 4 Au 2.88-2.95
Au 0.1204 0.1392 0.4310  3 Ge 2.71-2.86, 4 Au 2.91-3.03
Au 0.5722 0.3576 0.0982  2 Ge 2.66-2.77, 1 Au 2.88
Ge 0.5000 0.5000 0.5000  8 Au 2.74-2.80
Au 0.5503 0.0667 0.2683  2 Ge 2.67-2.80, 4 Au 2.88-2.95
Au 0.5418 0.1961 0.5519  3 Ge 2.74-3.02, 4 Au 2.93-3.03
Au 0.1199 0.8699 0.2500  2 Ge 2.66, 4 Au 2.91-2.95
Ge 0.8172 0.6436 0.0085  6 Au 2.66-2.86
Au 0.2406 0.5260 0.5982  2 Ge 2.66-2.77, 1 Au 2.88
Au 0.4497 0.9333 0.7317  2 Ge 2.67-2.80, 4 Au 2.88-2.95
Ge 0.1350 0.8087 0.4915  6 Au 2.66-2.86

## Properties
As for the symmetry: C2/c. The spin magnetization is 0.00 μB/f.u.

=====

Density functional theory data (PBE) for a geometry-optimized GePb2Au structure.

a b c (Å): 3.3960 3.3960 10.8247
angles (deg): 80.98 80.98 60.00
Closest atoms and distances in Å follow each position.
Fractional coordinates of all 4 atoms:
Au 0.5000 0.5000 0.5000  6 Pb 3.03
Pb 0.9057 0.9057 0.2828  1 Ge 3.01, 3 Au 3.03
Ge 0.0000 0.0000 0.0000  2 Pb 3.01
Pb 0.0943 0.0943 0.7172  1 Ge 3.01, 3 Au 3.03

## Properties
As for the symmetry: R-3m. The spin magnetization is 0.00 μB/f.u.

=====

Density functional theory data (PBE) for a geometry-optimized GePb4Au5 structure.

a b c (Å): 4.9905 7.3664 7.3664
angles (deg): 83.41 70.20 70.20
Closest atoms and distances in Å follow each position.
Fractional coordinates of all 10 atoms:
Au 0.1457 0.6282 0.0000  1 Ge 2.76, 3 Au 2.99-3.06, 2 Pb 3.08
Ge 0.1588 0.0000 0.0000  6 Au 2.48-2.76
Au 0.1457 0.0000 0.6282  1 Ge 2.76, 3 Au 2.99-3.06, 2 Pb 3.08
Au 0.7739 0.3718 0.0000  1 Ge 2.76, 3 Au 2.99-3.06, 2 Pb 3.08
Pb 0.4591 0.3005 0.6995  7 Au 3.08-3.29, 1 Ge 3.30
Au 0.7738 0.0000 0.3718  1 Ge 2.76, 3 Au 2.99-3.06, 2 Pb 3.08
Pb 0.4591 0.6995 0.3005  7 Au 3.08-3.29, 1 Ge 3.30
Pb 0.1586 0.3005 0.3005  7 Au 3.08-3.29, 1 Ge 3.30
Pb 0.7596 0.6995 0.6995  7 Au 3.08-3.29, 1 Ge 3.30
Au 0.6556 0.0000 0.0000  2 Ge 2.48-2.51

## Properties
As for the symmetry: I4mm. The spin magnetization is 0.00 μB/f.u.

=====

Density functional theory data (PBE) for a geometry-optimized GePbAu2 structure.

a b c (Å): 3.8747 3.8747 7.5446
angles (deg): 75.12 75.12 60.00
Closest atoms and distances in Å follow each position.
Fractional coordinates of all 4 atoms:
Au 0.0702 0.0702 0.7895  3 Ge 2.69
Ge 0.6676 0.6676 0.9973  6 Au 2.69-2.71
Au 0.2636 0.2636 0.2092  3 Ge 2.71
Pb 0.4987 0.4987 0.5040  6 Au 3.04-3.09

## Properties
As for the symmetry: R3m. The spin magnetization is 0.00 μB/f.u. The offset from the most stable computed form comes out at 0.071 eV/atom.

=====

Density functional theory data (PBE) for a geometry-optimized GePb2Au structure.

a b c (Å): 6.1438 6.1438 8.3873
angles (deg): 68.52 68.52 90.00
Closest atoms and distances in Å follow each position.
Fractional coordinates of all 8 atoms:
Au 0.0000 0.0000 0.0000  4 Pb 2.81
Ge 0.5000 0.5000 0.0000  4 Pb 2.82
Pb 0.1238 0.6250 0.2500  2 Au 2.81, 2 Ge 2.82
Pb 0.6262 0.1250 0.2500  2 Au 2.81, 2 Ge 2.82
Pb 0.8750 0.8762 0.7500  2 Au 2.81, 2 Ge 2.82
Ge 0.2500 0.7500 0.5000  4 Pb 2.82
Au 0.7500 0.2500 0.5000  4 Pb 2.81
Pb 0.3750 0.3738 0.7500  2 Au 2.81, 2 Ge 2.82

## Properties
As for the symmetry: I-42d. The spin magnetization is 0.00 μB/f.u.

=====

Values for formation enthalpy at 0 K, eV/atom, ordered as above
0.11; 0.00; 0.26; -0.02; 0.03; 0.25